{
  "formula": "SbMo2Cl",
  "functional": "PBE",
  "state": "optimized geometry",
  "de_polymorph_mev_per_atom": 0,
  "formation_energy_uncorrected_ev_per_atom": -0.10,
  "lattice_angstrom": [[3.276, 0.000, 0.000], [0.000, 3.134, 0.000], [-1.546, 0.000, 8.775]],
  "species": ["Sb", "Mo", "Mo", "Cl"],
  "fractional_positions": [[0.000, 0.000, 0.000], [0.177, 0.000, 0.375], [0.602, 0.500, 0.216], [0.279, 0.500, 0.590]]
}



{
  "formula": "Cs3PuGe2Br9",
  "functional": "PBE",
  "state": "optimized geometry",
  "formation_energy_uncorrected_ev_per_atom": -1.26,
  "lattice_angstrom": [[8.111, 0.000, 0.000], [-4.056, 7.024, 0.000], [0.000, 0.000, 9.942]],
  "species": ["Cs", "Cs", "Cs", "Pu", "Ge", "Ge", "Br", "Br", "Br", "Br", "Br", "Br", "Br", "Br", "Br"],
  "fractional_positions": [[0.000, 0.000, 0.000], [0.333, 0.667, 0.671], [0.667, 0.333, 0.329], [0.000, 0.000, 0.500], [0.333, 0.667, 0.154], [0.667, 0.333, 0.846], [0.000, 0.500, 0.000], [0.169, 0.339, 0.330], [0.169, 0.831, 0.330], [0.339, 0.169, 0.670], [0.500, 0.000, 0.000], [0.500, 0.500, 0.000], [0.661, 0.831, 0.330], [0.831, 0.169, 0.670], [0.831, 0.661, 0.670]]
}



{
  "formula": "BaSr2MoBr",
  "functional": "PBE",
  "state": "optimized geometry",
  "formation_energy_uncorrected_ev_per_atom": 0.37,
  "lattice_angstrom": [[5.884, 0.000, 0.000], [0.000, 5.884, 0.000], [0.000, 0.000, 6.322]],
  "species": ["Ba", "Sr", "Sr", "Mo", "Br"],
  "fractional_positions": [[0.000, 0.000, 0.000], [0.000, 0.500, 0.500], [0.500, 0.000, 0.500], [0.500, 0.500, 0.000], [0.000, 0.000, 0.500]]
}



{
  "formula": "CaRe2Se",
  "functional": "PBE",
  "state": "optimized geometry",
  "formation_energy_uncorrected_ev_per_atom": 0.03,
  "lattice_angstrom": [[4.208, 0.000, 0.000], [-2.104, 3.644, 0.000], [0.000, 0.000, 16.803]],
  "species": ["Ca", "Ca", "Ca", "Re", "Re", "Re", "Re", "Re", "Re", "Se", "Se", "Se"],
  "fractional_positions": [[0.000, 0.000, 0.000], [0.333, 0.667, 0.667], [0.667, 0.333, 0.333], [0.000, 0.000, 0.205], [0.000, 0.000, 0.513], [0.333, 0.667, 0.180], [0.333, 0.667, 0.872], [0.667, 0.333, 0.539], [0.667, 0.333, 0.846], [0.000, 0.000, 0.777], [0.333, 0.667, 0.443], [0.667, 0.333, 0.110]]
}



{
  "formula": "SrNbPb2O6",
  "functional": "PBE",
  "state": "optimized geometry",
  "formation_energy_uncorrected_ev_per_atom": -1.92,
  "lattice_angstrom": [[5.833, 0.000, 0.000], [0.000, 6.215, 0.000], [-5.740, 0.000, 8.593]],
  "species": ["Sr", "Sr", "Nb", "Nb", "Pb", "Pb", "Pb", "Pb", "O", "O", "O", "O", "O", "O", "O", "O", "O", "O", "O", "O"],
  "fractional_positions": [[0.000, 0.000, 0.000], [0.000, 0.500, 0.500], [0.500, 0.000, 0.500], [0.500, 0.500, 0.000], [0.231, 0.036, 0.738], [0.231, 0.464, 0.238], [0.769, 0.536, 0.762], [0.769, 0.964, 0.262], [0.160, 0.159, 0.453], [0.160, 0.341, 0.953], [0.272, 0.726, 0.421], [0.272, 0.774, 0.921], [0.405, 0.071, 0.280], [0.405, 0.429, 0.780], [0.595, 0.571, 0.220], [0.595, 0.929, 0.720], [0.728, 0.226, 0.079], [0.728, 0.274, 0.579], [0.840, 0.659, 0.047], [0.840, 0.841, 0.547]]
}



{
  "formula": "ReAsRu2",
  "functional": "PBE",
  "state": "optimized geometry",
  "e_form_ev_per_fu": 0.39,
  "lattice_angstrom": [[3.900, 0.000, 0.000], [0.000, 2.838, 0.000], [0.000, 0.000, 10.576]],
  "species": ["Re", "Re", "As", "As", "Ru", "Ru", "Ru", "Ru"],
  "fractional_positions": [[0.000, 0.000, 0.000], [0.000, 0.500, 0.500], [0.500, 0.000, 0.841], [0.500, 0.500, 0.341], [0.000, 0.000, 0.262], [0.000, 0.500, 0.762], [0.500, 0.000, 0.610], [0.500, 0.500, 0.110]]
}



{
  "formula": "FeSnTe2Br",
  "functional": "PBE",
  "state": "optimized geometry",
  "formation_energy_uncorrected_ev_per_atom": 0.10,
  "lattice_angstrom": [[5.022, 0.000, 0.000], [0.000, 5.022, 0.000], [0.000, 0.000, 5.538]],
  "species": ["Fe", "Sn", "Te", "Te", "Br"],
  "fractional_positions": [[0.000, 0.000, 0.000], [0.000, 0.000, 0.500], [0.000, 0.500, 0.000], [0.500, 0.000, 0.000], [0.500, 0.500, 0.500]]
}



{
  "formula": "OsPt3Se",
  "functional": "PBE",
  "state": "optimized geometry",
  "de_polymorph_mev_per_atom": 67,
  "formation_energy_uncorrected_ev_per_atom": 1.43,
  "lattice_angstrom": [[4.826, 0.000, 0.000], [0.000, 4.826, 0.000], [0.000, 0.000, 4.826]],
  "species": ["Os", "Pt", "Pt", "Pt", "Se"],
  "fractional_positions": [[0.000, 0.000, 0.000], [0.000, 0.000, 0.500], [0.000, 0.500, 0.000], [0.500, 0.000, 0.000], [0.500, 0.500, 0.500]]
}



{
  "formula": "Rb2LaSi2O6",
  "functional": "PBE",
  "state": "optimized geometry",
  "formation_energy_uncorrected_ev_per_atom": -2.53,
  "lattice_angstrom": [[3.041, 1.756, 6.177], [-3.041, 1.756, 6.177], [0.000, -3.512, 6.177]],
  "species": ["Rb", "Rb", "La", "Si", "Si", "O", "O", "O", "O", "O", "O"],
  "fractional_positions": [[0.216, 0.216, 0.216], [0.784, 0.784, 0.784], [0.000, 0.000, 0.000], [0.430, 0.430, 0.430], [0.570, 0.570, 0.570], [0.261, 0.261, 0.714], [0.261, 0.714, 0.261], [0.286, 0.739, 0.739], [0.714, 0.261, 0.261], [0.739, 0.286, 0.739], [0.739, 0.739, 0.286]]
}



{
  "formula": "MgWCl2",
  "functional": "PBE",
  "state": "optimized geometry",
  "de_polymorph_mev_per_atom": 219,
  "formation_energy_uncorrected_ev_per_atom": 0.02,
  "lattice_angstrom": [[3.114, 0.000, 0.000], [-1.557, 2.697, 0.000], [0.000, 0.000, 29.434]],
  "species": ["Mg", "Mg", "Mg", "W", "W", "W", "Cl", "Cl", "Cl", "Cl", "Cl", "Cl"],
  "fractional_positions": [[0.000, 0.000, 0.000], [0.333, 0.667, 0.667], [0.667, 0.333, 0.333], [0.000, 0.000, 0.500], [0.333, 0.667, 0.167], [0.667, 0.333, 0.833], [0.000, 0.000, 0.107], [0.000, 0.000, 0.893], [0.333, 0.667, 0.560], [0.333, 0.667, 0.773], [0.667, 0.333, 0.227], [0.667, 0.333, 0.440]]
}



{
  "formula": "NaLaZnCu",
  "functional": "PBE",
  "state": "optimized geometry",
  "e_form_ev_per_fu": -0.10,
  "lattice_angstrom": [[7.181, 0.000, 0.000], [0.000, 7.181, 0.000], [0.000, 0.000, 7.181]],
  "species": ["Na", "Na", "Na", "Na", "La", "La", "La", "La", "Zn", "Zn", "Zn", "Zn", "Cu", "Cu", "Cu", "Cu"],
  "fractional_positions": [[0.000, 0.000, 0.000], [0.000, 0.500, 0.500], [0.500, 0.000, 0.500], [0.500, 0.500, 0.000], [0.000, 0.000, 0.500], [0.000, 0.500, 0.000], [0.500, 0.000, 0.000], [0.500, 0.500, 0.500], [0.250, 0.250, 0.250], [0.250, 0.750, 0.750], [0.750, 0.250, 0.750], [0.750, 0.750, 0.250], [0.250, 0.250, 0.750], [0.250, 0.750, 0.250], [0.750, 0.250, 0.250], [0.750, 0.750, 0.750]]
}



{
  "formula": "Li2SmY2Ga2",
  "functional": "PBE",
  "state": "optimized geometry",
  "e_form_ev_per_fu": -2.04,
  "lattice_angstrom": [[2.313, 1.336, 8.897], [-2.313, 1.336, 8.897], [0.000, -2.671, 8.897]],
  "species": ["Li", "Li", "Sm", "Y", "Y", "Ga", "Ga"],
  "fractional_positions": [[0.100, 0.100, 0.100], [0.900, 0.900, 0.900], [0.500, 0.500, 0.500], [0.374, 0.374, 0.374], [0.626, 0.626, 0.626], [0.240, 0.240, 0.240], [0.760, 0.760, 0.760]]
}



{
  "formula": "CuSnIr3",
  "functional": "PBE",
  "state": "optimized geometry",
  "e_form_ev_per_fu": 6.13,
  "de_polymorph_mev_per_atom": 0,
  "lattice_angstrom": [[4.509, 0.000, 0.000], [0.000, 4.509, 0.000], [0.000, 0.000, 4.509]],
  "species": ["Cu", "Sn", "Ir", "Ir", "Ir"],
  "fractional_positions": [[0.000, 0.000, 0.000], [0.500, 0.500, 0.500], [0.000, 0.000, 0.500], [0.000, 0.500, 0.000], [0.500, 0.000, 0.000]]
}